No. 1
Nd8Ge3AsI4 | PBE | optimized geometry

```
data_Nd8Ge3AsI4
_cell_length_a 8.6920
_cell_length_b 8.6920
_cell_length_c 23.1365
_cell_angle_alpha 90.00
_cell_angle_beta 90.00
_cell_angle_gamma 120.00
_space_group_name_H-M_alt 'R -3 m'
_space_group_IT_number 166
_space_group_name_Hall '-R 3 2"'
loop_
_atom_site_label
_atom_site_fract_x
_atom_site_fract_y
_atom_site_fract_z
Nd1 0.0000 0.0000 0.2330
Nd2 0.0017 0.5008 0.7676
Ge1 0.0000 0.5000 0.5000
As1 0.0000 0.0000 0.5000
I1 0.0000 0.0000 0.0000
I2 0.0000 0.5000 0.0000
```

Computed properties:
The calculation puts the theoretical density at 6.4 g/cm3. The uncorrected formation energy comes out at -1.10 eV per atom. The density of states at the Fermi level comes out at 0.416 states/eV per atom. The total magnetization comes out at 0.0000 μB/atom.


No. 2
Nd6Ge2AsI3 | PBE | optimized geometry

```
data_Nd6Ge2AsI3
_cell_length_a 7.524
_cell_length_b 13.030
_cell_length_c 8.101
_cell_angle_alpha 90.00
_cell_angle_beta 108.01
_cell_angle_gamma 90.00
_space_group_name_H-M_alt 'C 1 2/m 1'
_space_group_IT_number 12
_space_group_name_Hall '-C 2y'
loop_
_atom_site_label
_atom_site_fract_x
_atom_site_fract_y
_atom_site_fract_z
Nd1 0.231 0.000 0.198
Nd2 0.233 0.333 0.198
Ge1 0.000 0.167 0.000
As1 0.000 0.500 0.000
I1 0.000 0.000 0.500
I2 0.000 0.333 0.500
```

Computed properties:
The calculation puts the theoretical density at 6.4 g/cm3. The uncorrected formation energy comes out at -1.13 eV per atom. The density of states at the Fermi level comes out at 0.430 states/eV per atom. The total magnetization comes out at 0.0000 μB/atom.


No. 3
GeAsPI2 | PBE | optimized geometry

```
data_GeAsPI2
_cell_length_a 5.655
_cell_length_b 5.655
_cell_length_c 4.649
_cell_angle_alpha 90.00
_cell_angle_beta 90.00
_cell_angle_gamma 90.00
_space_group_name_H-M_alt 'P 4/m m m'
_space_group_IT_number 123
_space_group_name_Hall '-P 4 2'
loop_
_atom_site_label
_atom_site_fract_x
_atom_site_fract_y
_atom_site_fract_z
Ge1 0.000 0.000 0.000
As1 0.500 0.500 0.500
P1 0.000 0.000 0.500
I1 0.000 0.500 0.000
```

Computed properties:
The calculation puts the theoretical density at 4.8 g/cm3. The uncorrected formation energy comes out at 0.89 eV per atom. The density of states at the Fermi level comes out at 1.150 states/eV per atom. The total magnetization comes out at 0.0036 μB/atom.


No. 4
Pm8Ge3AsI4 | PBE | optimized geometry

```
data_Pm8Ge3AsI4
_cell_length_a 8.6383
_cell_length_b 8.6383
_cell_length_c 22.9303
_cell_angle_alpha 90.00
_cell_angle_beta 90.00
_cell_angle_gamma 120.00
_space_group_name_H-M_alt 'R -3 m'
_space_group_IT_number 166
_space_group_name_Hall '-R 3 2"'
loop_
_atom_site_label
_atom_site_fract_x
_atom_site_fract_y
_atom_site_fract_z
Pm1 0.0000 0.0000 0.2327
Pm2 0.0018 0.5009 0.7679
Ge1 0.0000 0.5000 0.5000
As1 0.0000 0.0000 0.5000
I1 0.0000 0.0000 0.0000
I2 0.0000 0.5000 0.0000
```

Computed properties:
The calculation puts the theoretical density at 6.6 g/cm3. The uncorrected formation energy comes out at -1.10 eV per atom. The density of states at the Fermi level comes out at 0.418 states/eV per atom. The total magnetization comes out at 0.0000 μB/atom.


No. 5
Pr4GeAsI2 | PBE | optimized geometry

```
data_Pr4GeAsI2
_cell_length_a 7.558
_cell_length_b 4.372
_cell_length_c 8.170
_cell_angle_alpha 90.00
_cell_angle_beta 107.98
_cell_angle_gamma 90.00
_space_group_name_H-M_alt 'P 1 2/m 1'
_space_group_IT_number 10
_space_group_name_Hall '-P 2y'
loop_
_atom_site_label
_atom_site_fract_x
_atom_site_fract_y
_atom_site_fract_z
Pr1 0.231 0.000 0.198
Pr2 0.267 0.500 0.804
Ge1 0.000 0.500 0.000
As1 0.500 0.000 0.000
I1 0.000 0.000 0.500
I2 0.500 0.500 0.500
```

Computed properties:
The calculation puts the theoretical density at 6.2 g/cm3. The uncorrected formation energy comes out at -1.18 eV per atom. The density of states at the Fermi level comes out at 0.380 states/eV per atom. The total magnetization comes out at 0.0000 μB/atom.


No. 6
Pr8Ge3AsI4 | PBE | optimized geometry

```
data_Pr8Ge3AsI4
_cell_length_a 8.7491
_cell_length_b 8.7491
_cell_length_c 23.3604
_cell_angle_alpha 90.00
_cell_angle_beta 90.00
_cell_angle_gamma 120.00
_space_group_name_H-M_alt 'R -3 m'
_space_group_IT_number 166
_space_group_name_Hall '-R 3 2"'
loop_
_atom_site_label
_atom_site_fract_x
_atom_site_fract_y
_atom_site_fract_z
Pr1 0.0000 0.0000 0.2333
Pr2 0.0016 0.5008 0.7673
Ge1 0.0000 0.5000 0.5000
As1 0.0000 0.0000 0.5000
I1 0.0000 0.0000 0.0000
I2 0.0000 0.5000 0.0000
```

Computed properties:
The calculation puts the theoretical density at 6.2 g/cm3. The uncorrected formation energy comes out at -1.11 eV per atom. The density of states at the Fermi level comes out at 0.412 states/eV per atom. The total magnetization comes out at 0.0000 μB/atom.


No. 7
Pr6Ge2As3I | PBE | optimized geometry

```
data_Pr6Ge2As3I
_cell_length_a 19.004
_cell_length_b 4.308
_cell_length_c 8.842
_cell_angle_alpha 90.00
_cell_angle_beta 103.28
_cell_angle_gamma 90.00
_space_group_name_H-M_alt 'C 1 2/m 1'
_space_group_IT_number 12
_space_group_name_Hall '-C 2y'
loop_
_atom_site_label
_atom_site_fract_x
_atom_site_fract_y
_atom_site_fract_z
Pr1 0.002 0.000 0.276
Pr2 0.167 0.500 0.586
Pr3 0.175 0.500 0.089
Ge1 0.166 0.000 0.332
As1 0.000 0.500 0.500
As2 0.163 0.000 0.834
I1 0.000 0.500 0.000
```

Computed properties:
The calculation puts the theoretical density at 6.3 g/cm3. The uncorrected formation energy comes out at -1.20 eV per atom. The density of states at the Fermi level comes out at 0.293 states/eV per atom. The total magnetization comes out at 0.0000 μB/atom.


No. 8
Pr6GeAs2I3 | PBE | optimized geometry

```
data_Pr6GeAs2I3
_cell_length_a 19.996
_cell_length_b 4.362
_cell_length_c 9.257
_cell_angle_alpha 90.00
_cell_angle_beta 107.80
_cell_angle_gamma 90.00
_space_group_name_H-M_alt 'C 1 2/m 1'
_space_group_IT_number 12
_space_group_name_Hall '-C 2y'
loop_
_atom_site_label
_atom_site_fract_x
_atom_site_fract_y
_atom_site_fract_z
Pr1 0.012 0.000 0.220
Pr2 0.154 0.500 0.111
Pr3 0.179 0.500 0.551
Ge1 0.000 0.500 0.000
As1 0.167 0.000 0.332
I1 0.000 0.500 0.500
I2 0.166 0.000 0.831
```

Computed properties:
The calculation puts the theoretical density at 6.3 g/cm3. The uncorrected formation energy comes out at -1.23 eV per atom. The density of states at the Fermi level comes out at 0.407 states/eV per atom. The total magnetization comes out at 0.0000 μB/atom.


No. 9
RbGe2AsI8 | PBE | optimized geometry

```
data_RbGe2AsI8
_cell_length_a 7.503
_cell_length_b 7.767
_cell_length_c 9.996
_cell_angle_alpha 77.03
_cell_angle_beta 80.72
_cell_angle_gamma 77.70
_space_group_name_H-M_alt 'P -1'
_space_group_IT_number 2
_space_group_name_Hall '-P 1'
loop_
_atom_site_label
_atom_site_fract_x
_atom_site_fract_y
_atom_site_fract_z
Rb1 0.000 0.000 0.000
Ge1 0.442 0.432 0.238
As1 0.000 0.000 0.500
I1 0.177 0.743 0.723
I2 0.232 0.798 0.305
I3 0.270 0.228 0.475
I4 0.361 0.294 0.029
```

Computed properties:
The calculation puts the theoretical density at 4.0 g/cm3. The uncorrected formation energy comes out at -0.39 eV per atom. The total magnetization comes out at 0.0000 μB/atom.


No. 10
Rb2GeAsI6 | PBE | optimized geometry

```
data_Rb2GeAsI6
_cell_length_a 8.366
_cell_length_b 8.366
_cell_length_c 11.822
_cell_angle_alpha 90.00
_cell_angle_beta 90.00
_cell_angle_gamma 90.00
_space_group_name_H-M_alt 'I 4/m m m'
_space_group_IT_number 139
_space_group_name_Hall '-I 4 2'
loop_
_atom_site_label
_atom_site_fract_x
_atom_site_fract_y
_atom_site_fract_z
Rb1 0.000 0.500 0.250
Ge1 0.000 0.000 0.000
As1 0.000 0.000 0.500
I1 0.000 0.000 0.252
I2 0.249 0.249 0.500
```

Computed properties:
The calculation puts the theoretical density at 4.3 g/cm3. The uncorrected formation energy comes out at -0.66 eV per atom. The density of states at the Fermi level comes out at 0.433 states/eV per atom. The total magnetization comes out at 0.0000 μB/atom.


No. 11
GeSbAsI2 | PBE | optimized geometry

```
data_GeSbAsI2
_cell_length_a 5.515
_cell_length_b 5.515
_cell_length_c 5.670
_cell_angle_alpha 90.00
_cell_angle_beta 90.00
_cell_angle_gamma 90.00
_space_group_name_H-M_alt 'P 4/m m m'
_space_group_IT_number 123
_space_group_name_Hall '-P 4 2'
loop_
_atom_site_label
_atom_site_fract_x
_atom_site_fract_y
_atom_site_fract_z
Ge1 0.000 0.000 0.000
Sb1 0.500 0.500 0.000
As1 0.500 0.500 0.500
I1 0.000 0.500 0.500
```

Computed properties:
The calculation puts the theoretical density at 5.0 g/cm3. The uncorrected formation energy comes out at 0.61 eV per atom. The energy relative to the lowest polymorph listed for this composition comes out at 0 meV/atom. The density of states at the Fermi level comes out at 0.721 states/eV per atom. The total magnetization comes out at 0.0000 μB/atom.


No. 12
GeSb2AsI | PBE | optimized geometry

```
data_GeSb2AsI
_cell_length_a 5.459
_cell_length_b 5.459
_cell_length_c 5.461
_cell_angle_alpha 90.00
_cell_angle_beta 90.00
_cell_angle_gamma 90.00
_space_group_name_H-M_alt 'P 4/m m m'
_space_group_IT_number 123
_space_group_name_Hall '-P 4 2'
loop_
_atom_site_label
_atom_site_fract_x
_atom_site_fract_y
_atom_site_fract_z
Ge1 0.000 0.000 0.000
Sb1 0.000 0.500 0.500
As1 0.500 0.500 0.500
I1 0.500 0.500 0.000
```

Computed properties:
The calculation puts the theoretical density at 5.3 g/cm3. The uncorrected formation energy comes out at 0.77 eV per atom. The energy relative to the lowest polymorph listed for this composition comes out at 0 meV/atom. The density of states at the Fermi level comes out at 1.299 states/eV per atom. The total magnetization comes out at 0.0000 μB/atom.